A plane-wave DFT calculation with PBE-GGA was carried out for a geometry-optimized AcGa2Pd structure.

Cell: 6.1499 6.1499 6.1499 Å, 41.54 41.54 41.54°
Fractional coordinates of all 4 atoms:
Ac 0.0000 0.0000 0.0000
Ga 0.2091 0.2091 0.2091
Ga 0.7909 0.7909 0.7909
Pd 0.5000 0.5000 0.5000

Summary:
- VASP energy (eV per atom) = -4.54
- excess energy over the best structure of this formula in the dataset (meV per atom) = 0
- formation energy from the elements (eV/atom) = -0.703